VASP calculation (PBEsol) on an optimized crystal structure of La2Ga4O9.

It has space group Pbam (No. 55), with a = 7.695 Å, b = 8.694 Å, c = 5.886 Å, α = 90.00°, β = 90.00° and γ = 90.00°. The distinct sites, in fractional coordinates, are La at (0.152, 0.184, 0.000), Ga at (0.000, 0.500, 0.255), Ga at (0.139, 0.834, 0.500), O at (0.000, 0.000, 0.500), O at (0.102, 0.721, 0.237), O at (0.144, 0.424, 0.500) and O at (0.164, 0.452, 0.000).

The calculation puts the uncorrected formation energy at -2375 meV/atom.

***

VASP calculation (PBEsol) on an optimized crystal structure of SrSi2Ir.

It has space group R-3m (No. 166, hexagonal axes), with a = 4.0694 Å, b = 4.0694 Å, c = 16.3785 Å, α = 90.00°, β = 90.00° and γ = 120.00°. The distinct sites, in fractional coordinates, are Sr at (0.0000, 0.0000, 0.0000), Si at (0.0000, 0.0000, 0.2072) and Ir at (0.0000, 0.0000, 0.5000).

The calculation puts the uncorrected formation energy at -687 meV/atom.

***

VASP calculation (PBEsol) on an optimized crystal structure of La3Ir.

It has space group Pnma (No. 62), with a = 7.290 Å, b = 9.954 Å, c = 6.488 Å, α = 90.00°, β = 90.00° and γ = 90.00°. The distinct sites, in fractional coordinates, are La at (0.036, 0.250, 0.145), La at (0.170, 0.065, 0.668) and Ir at (0.124, 0.750, 0.429).

The calculation puts the energy relative to the elements at -1.8 eV/f.u.

***

| no. | density of states at the Fermi level (states/eV/f.u.) | volume (Å³ per atom) | total magnetic moment (μB/f.u.) |
| --- | --- | --- | --- |
| 1 | 0.000 | 13.126 | 0.0 |
| 2 | 2.426 | 19.574 | 0.0 |
| 3 | 4.848 | 29.425 | 0.0 |